No. 1
DyZn2Au2 | PBE | relaxed

It has space group P4/mmm (No. 123), with a = 3.8498 Å, b = 3.8498 Å, c = 6.6641 Å, α = 90.00°, β = 90.00° and γ = 90.00°. The distinct sites, in fractional coordinates, are Dy at (0.0000, 0.0000, 0.0000), Zn at (0.0000, 0.5000, 0.5000) and Au at (0.5000, 0.5000, 0.2118).

The offset from the most stable computed form is 32.4 meV per atom. The calculation puts the calculated formation energy at -0.506 eV/atom.


No. 2
DyZn5Au3 | PBE | relaxed

It has space group Cmcm (No. 63), with a = 4.1434 Å, b = 13.6019 Å, c = 12.0012 Å, α = 90.00°, β = 90.00° and γ = 90.00°. The distinct sites, in fractional coordinates, are Dy at (0.0000, 0.1917, 0.2500), Zn at (0.0000, 0.0000, 0.0000), Zn at (0.0000, 0.1943, 0.5381), Zn at (0.0000, 0.4301, 0.1391), Au at (0.0000, 0.1420, 0.7500) and Au at (0.0000, 0.3841, 0.5852).

The calculation puts the calculated formation energy at -0.327 eV/atom.